DFT (GGA+U) results for an optimized crystal structure of Rb3V2NiO8.

Geometry as extended XYZ:
```
14
Lattice="5.876 0.000 0.000 -2.938 5.089 0.000 0.000 0.000 7.865" Properties=species:S:1:pos:R:3 pbc="T T T"
Rb 0.000 0.000 0.000
Rb 0.000 3.393 5.537
Rb 2.938 1.696 2.328
V 0.000 3.393 2.164
V 2.938 1.696 5.702
Ni 0.000 0.000 3.933
O 0.000 1.725 2.717
O -1.444 4.227 2.717
O 0.000 3.393 0.454
O 1.494 0.863 5.149
O 1.444 4.227 2.717
O 2.938 1.696 7.411
O 4.382 0.863 5.149
O 2.938 3.364 5.149
```

Results
The value obtained for the uncorrected energy is -83.94 eV for the cell shown. As for the density: 3.847 g/cm3.